This record from the Alexandria database describes an optimized crystal structure of TmTh2Zn. The functional is PBE-GGA.

```
4
Lattice="-2.496 -0.088 -2.517 2.474 -0.752 -2.427 -1.205 -8.829 1.505" Properties=species:S:1:pos:R:3 pbc="T T T"
Zn -0.011 -0.420 -2.472
Tm -0.614 -4.835 -1.719
Th -0.943 -6.909 1.178
Th -0.262 -1.920 0.327
```

## Properties
- Calculated volume: 28.41 A^3/atom
- SG: P4/mmm, No. 123
- Raw total energy: -5.163 eV/atom



This record from the Alexandria database describes an optimized crystal structure of PmThSb2. The functional is PBE-GGA.

```
8
Lattice="-3.173 1.807 -2.485 1.628 -3.971 -1.042 -10.582 -6.622 8.699" Properties=species:S:1:pos:R:3 pbc="T T T"
Pm -5.291 -3.311 4.349
Pm 0.000 0.000 0.000
Th -4.218 -1.774 0.171
Th -7.908 -7.011 5.001
Sb -3.966 -4.545 1.761
Sb -10.858 -5.929 5.629
Sb -8.160 -4.241 3.411
Sb -1.269 -2.857 -0.457
```

## Properties
- Calculated volume: 32.13 A^3/atom
- SG: P6_3/mmc, No. 194
- Raw total energy: -6.115 eV/atom
- Uncorrected formation energy: -1.0114 eV per atom



This record from the Alexandria database describes an optimized crystal structure of Pd. The functional is PBE-GGA.

```
8
Lattice="-3.546 0.436 4.589 1.332 -5.445 1.546 4.413 1.994 3.220" Properties=species:S:1:pos:R:3 pbc="T T T"
Pd 0.000 0.000 0.000
Pd 2.873 -1.726 2.383
Pd 0.434 1.215 3.905
Pd -1.107 -2.505 3.068
Pd 0.550 -0.754 2.339
Pd 3.423 -2.479 4.722
Pd 0.984 0.461 6.243
Pd -0.557 -3.259 5.407
```

## Properties
- Calculated volume: 24.58 A^3/atom
- SG: Fd-3m, No. 227
- Raw total energy: -4.056 eV/atom



This record from the Alexandria database describes an optimized crystal structure of PdAuF2. The functional is PBE-GGA.

```
4
Lattice="0.000 3.022 3.022 3.022 0.000 3.022 3.022 3.022 0.000" Properties=species:S:1:pos:R:3 pbc="T T T"
Au 3.022 3.022 3.022
Pd 0.000 0.000 0.000
F 1.511 1.511 1.511
F 4.532 4.532 4.532
```

## Properties
- Calculated volume: 13.79 A^3/atom
- SG: Fm-3m, No. 225
- Raw total energy: -3.294 eV/atom
- Uncorrected formation energy: -0.2410 eV per atom



This record from the Alexandria database describes an optimized crystal structure of InCuP2. The functional is PBE-GGA.

```
4
Lattice="4.537 0.023 0.087 -1.383 4.321 0.087 1.233 1.698 3.745" Properties=species:S:1:pos:R:3 pbc="T T T"
Cu 2.885 0.860 1.916
In -0.075 3.009 1.916
P 0.000 0.000 0.000
P 1.577 2.172 0.087
```

## Properties
- Calculated volume: 18.05 A^3/atom
- SG: C2/m, No. 12
- Raw total energy: -4.084 eV/atom



This record from the Alexandria database describes an optimized crystal structure of KLa2Ni. The functional is PBE-GGA.

```
4
Lattice="11.052 0.485 -0.208 9.511 5.650 0.208 -10.210 -3.309 2.691" Properties=species:S:1:pos:R:3 pbc="T T T"
K 6.071 3.086 1.449
La 20.483 6.110 0.000
La 3.350 -0.538 1.242
Ni 11.296 3.370 0.000
```

## Properties
- Calculated volume: 39.19 A^3/atom
- SG: Imm2, No. 44
- Raw total energy: -4.114 eV/atom



This record from the Alexandria database describes an optimized crystal structure of La3MgCd. The functional is PBE-GGA.

```
5
Lattice="-0.726 5.303 2.687 -3.054 1.990 -4.752 -5.100 -1.946 2.463" Properties=species:S:1:pos:R:3 pbc="T T T"
Mg -4.440 2.673 0.199
Cd 0.000 0.000 0.000
La -1.527 0.995 -2.376
La -2.550 -0.973 1.232
La -0.363 2.651 1.343
```

## Properties
- Calculated volume: 42.96 A^3/atom
- SG: Pm-3m, No. 221
- Raw total energy: -3.066 eV/atom



This record from the Alexandria database describes an optimized crystal structure of TlF. The functional is PBE-GGA.

```
2
Lattice="3.421 0.000 0.000 0.000 3.421 0.000 0.000 0.000 3.421" Properties=species:S:1:pos:R:3 pbc="T T T"
Tl 0.000 0.000 0.000
F 1.711 1.711 1.711
```

## Properties
- Calculated volume: 20.02 A^3/atom
- SG: Pm-3m, No. 221
- Raw total energy: -3.750 eV/atom
- Uncorrected formation energy: -1.6314 eV per atom